First-principles (PBE) data for crystalline BeBiPH at its relaxed geometry, as listed in Alexandria via LeMat-Bulk. Values from VASP.

```
&SYSTEM
  ibrav = 0, nat = 4, ntyp = 4
/
ATOMIC_SPECIES
Be 9.01 Be.upf
Bi 208.98 Bi.upf
P 30.97 P.upf
H 1.01 H.upf
CELL_PARAMETERS angstrom
3.625 0.000 0.000
1.812 4.067 0.000
1.785 1.289 5.640
ATOMIC_POSITIONS crystal
Be 0.000 0.000 0.000
Bi 0.660 0.415 0.269
P 0.620 0.895 0.863
H 0.807 0.689 0.692
```


First-principles (PBE) data for crystalline Be2TlBiH at its relaxed geometry, as listed in Alexandria via LeMat-Bulk. Values from VASP.

```
&SYSTEM
  ibrav = 0, nat = 5, ntyp = 4
/
ATOMIC_SPECIES
Be 9.01 Be.upf
Tl 204.38 Tl.upf
Bi 208.98 Bi.upf
H 1.01 H.upf
CELL_PARAMETERS angstrom
4.434 0.000 0.000
0.000 4.434 0.000
0.000 0.000 6.355
ATOMIC_POSITIONS crystal
Be 0.000 0.500 0.000
Be 0.500 0.000 0.000
Tl 0.000 0.000 0.000
Bi 0.000 0.000 0.500
H 0.500 0.500 0.500
```


First-principles (PBE) data for crystalline YBeBiH2 at its relaxed geometry, as listed in Alexandria via LeMat-Bulk. Values from VASP.

```
&SYSTEM
  ibrav = 0, nat = 5, ntyp = 4
/
ATOMIC_SPECIES
Y 88.91 Y.upf
Be 9.01 Be.upf
Bi 208.98 Bi.upf
H 1.01 H.upf
CELL_PARAMETERS angstrom
4.220 0.000 0.000
0.000 4.220 0.000
0.000 0.000 5.033
ATOMIC_POSITIONS crystal
Y 0.000 0.000 0.000
Be 0.500 0.500 0.500
Bi 0.500 0.500 0.000
H 0.000 0.500 0.500
H 0.500 0.000 0.500
```


First-principles (PBE) data for crystalline HfBeBi2 at its relaxed geometry, as listed in Alexandria via LeMat-Bulk. Values from VASP.

```
&SYSTEM
  ibrav = 0, nat = 16, ntyp = 3
/
ATOMIC_SPECIES
Hf 178.49 Hf.upf
Be 9.01 Be.upf
Bi 208.98 Bi.upf
CELL_PARAMETERS angstrom
6.399 0.000 0.000
0.000 6.399 0.000
0.000 0.000 12.243
ATOMIC_POSITIONS crystal
Hf 0.000 0.000 0.000
Hf 0.000 0.500 0.250
Hf 0.500 0.000 0.750
Hf 0.500 0.500 0.500
Be 0.000 0.000 0.500
Be 0.000 0.500 0.750
Be 0.500 0.000 0.250
Be 0.500 0.500 0.000
Bi 0.209 0.250 0.625
Bi 0.250 0.709 0.875
Bi 0.250 0.791 0.375
Bi 0.291 0.250 0.125
Bi 0.709 0.750 0.125
Bi 0.750 0.209 0.375
Bi 0.750 0.291 0.875
Bi 0.791 0.750 0.625
```


| no. | electronic total energy (eV per atom) | density of states at the Fermi level (states/eV/atom) |
| --- | --- | --- |
| 1 | -3.989 | 0.299 |
| 2 | -2.117 | 0.363 |
| 3 | -3.788 | 0.029 |
| 4 | -4.865 | 0.000 |